<i>
## Be2MoOs (PBE-GGA)

Data for crystalline Be2MoOs at its relaxed geometry.

a b c (Å): 2.6278 2.6278 7.3433
angles (deg): 90.00 90.00 106.05
Sites, in units of the cell vectors:
Be: 0.0000 0.0000 0.2395
Be: 0.0000 0.0000 0.7605
Mo: 0.5000 0.5000 0.5000
Os: 0.5000 0.5000 0.0000

Results
total moment = 0.000 μB/atom

=====

<ii>
## Be2MoOs (PBE-GGA)

Data for crystalline Be2MoOs at its relaxed geometry.

a b c (Å): 4.6779 4.6779 4.6779
angles (deg): 142.89 125.42 67.85
Sites, in units of the cell vectors:
Be: 0.2408 0.2408 0.0000
Be: 0.7592 0.7592 0.0000
Mo: 0.5000 0.0000 0.5000
Os: 0.0000 0.5000 0.5000

Results
total moment = 0.000 μB/atom

=====

Most favorable first, least favorable last: <ii>, <i>

=====

<i>
## Be2MoOs (PBE-GGA)

Data for crystalline Be2MoOs at its relaxed geometry.

a b c (Å): 3.1006 3.7691 4.1842
angles (deg): 90.00 90.00 90.00
Sites, in units of the cell vectors:
Be: 0.0000 0.0000 0.0000
Be: 0.5000 0.0000 0.5000
Mo: 0.0000 0.5000 0.5000
Os: 0.5000 0.5000 0.0000

Results
total moment = 0.000 μB/atom

=====

<ii>
## Be2MoOs (PBE-GGA)

Data for crystalline Be2MoOs at its relaxed geometry.

a b c (Å): 4.1219 4.1219 4.1219
angles (deg): 120.23 120.23 89.61
Sites, in units of the cell vectors:
Be: 0.0000 0.0000 0.0000
Be: 0.7500 0.2500 0.5000
Mo: 0.2500 0.7500 0.5000
Os: 0.5000 0.5000 0.0000

Results
total moment = 0.000 μB/atom

=====

<iii>
## Be2MoOs (PBE-GGA)

Data for crystalline Be2MoOs at its relaxed geometry.

a b c (Å): 2.6240 3.7041 5.1295
angles (deg): 90.00 102.73 90.00
Sites, in units of the cell vectors:
Be: 0.2451 0.0000 0.2691
Be: 0.7549 0.0000 0.7309
Mo: 0.5000 0.5000 0.0000
Os: 0.0000 0.5000 0.5000

Results
total moment = 0.000 μB/atom

=====

Most favorable first, least favorable last: <ii>, <iii>, <i>

=====

<i>
## Be2MoOs (PBE-GGA)

Data for crystalline Be2MoOs at its relaxed geometry.

a b c (Å): 8.7638 8.7638 8.7638
angles (deg): 156.28 156.28 33.79
Sites, in units of the cell vectors:
Be: 0.0979 0.6250 0.9729
Be: 0.3750 0.3479 0.4729
Be: 0.6521 0.1250 0.0271
Be: 0.8750 0.9021 0.5271
Mo: 0.2500 0.7500 0.5000
Mo: 0.5000 0.5000 0.0000
Os: 0.0000 0.0000 0.0000
Os: 0.7500 0.2500 0.5000

Results
total moment = 0.000 μB/atom

=====

<ii>
## Be2MoOs (PBE-GGA)

Data for crystalline Be2MoOs at its relaxed geometry.

a b c (Å): 4.6858 4.6858 4.6858
angles (deg): 143.56 129.14 64.17
Sites, in units of the cell vectors:
Be: 0.0000 0.0000 0.0000
Be: 0.7910 0.2910 0.5000
Mo: 0.2595 0.7595 0.5000
Os: 0.5381 0.5381 0.0000

Results
total moment = 0.000 μB/atom

=====

Most favorable first, least favorable last: <ii>, <i>

=====

<i>
## BeMoOs (PBE-GGA)

Data for crystalline BeMoOs at its relaxed geometry.

a b c (Å): 4.6366 4.6366 4.6366
angles (deg): 120.11 104.68 104.17
Sites, in units of the cell vectors:
Be: 0.0000 0.0000 0.0000
Be: 0.0000 0.5000 0.5000
Mo: 0.1857 0.0931 0.5926
Mo: 0.5004 0.5931 0.4074
Os: 0.5040 0.9188 0.0852
Os: 0.8335 0.4188 0.9148

Results
total moment = 0.000 μB/atom

=====

<ii>
## BeMoOs (PBE-GGA)

Data for crystalline BeMoOs at its relaxed geometry.

a b c (Å): 4.0649 4.0649 2.7816
angles (deg): 90.00 90.00 120.00
Sites, in units of the cell vectors:
Be: 0.0000 0.0000 0.0000
Mo: 0.3333 0.6667 0.4702
Os: 0.6667 0.3333 0.9304

Results
total moment = 0.000 μB/atom

=====

Most favorable first, least favorable last: <i>, <ii>

=====

<i>
## Be3MoOs (PBE-GGA)

Data for crystalline Be3MoOs at its relaxed geometry.

a b c (Å): 4.0646 4.0646 4.0646
angles (deg): 90.00 90.00 90.00
Sites, in units of the cell vectors:
Be: 0.0000 0.0000 0.5000
Be: 0.0000 0.5000 0.0000
Be: 0.5000 0.0000 0.0000
Mo: 0.5000 0.5000 0.5000
Os: 0.0000 0.0000 0.0000

Results
total moment = 0.000 μB/atom

=====

<ii>
## Be3MoOs (PBE-GGA)

Data for crystalline Be3MoOs at its relaxed geometry.

a b c (Å): 4.0458 4.0458 4.0458
angles (deg): 90.00 90.00 90.00
Sites, in units of the cell vectors:
Be: 0.0000 0.0000 0.5000
Be: 0.0000 0.5000 0.0000
Be: 0.5000 0.0000 0.0000
Mo: 0.0000 0.0000 0.0000
Os: 0.5000 0.5000 0.5000

Results
total moment = 0.181 μB/atom

=====

Most favorable first, least favorable last: <i>, <ii>

=====

<i>
## BeMoOs3 (PBE-GGA)

Data for crystalline BeMoOs3 at its relaxed geometry.

a b c (Å): 4.6687 4.6687 4.6687
angles (deg): 90.00 90.00 90.00
Sites, in units of the cell vectors:
Be: 0.0000 0.0000 0.0000
Mo: 0.5000 0.5000 0.5000
Os: 0.0000 0.5000 0.5000
Os: 0.5000 0.0000 0.5000
Os: 0.5000 0.5000 0.0000

Results
total moment = 0.000 μB/atom

=====

<ii>
## BeMoOs3 (PBE-GGA)

Data for crystalline BeMoOs3 at its relaxed geometry.

a b c (Å): 4.0957 4.0957 4.0957
angles (deg): 90.00 90.00 90.00
Sites, in units of the cell vectors:
Be: 0.0000 0.0000 0.0000
Mo: 0.5000 0.5000 0.5000
Os: 0.0000 0.0000 0.5000
Os: 0.0000 0.5000 0.0000
Os: 0.5000 0.0000 0.0000

Results
total moment = 0.000 μB/atom

=====

Most favorable first, least favorable last: <ii>, <i>

=====

<i>
## Be2Mo2P (PBE-GGA)

Data for crystalline Be2Mo2P at its relaxed geometry.

a b c (Å): 5.8545 5.8545 3.3067
angles (deg): 90.00 90.00 90.00
Sites, in units of the cell vectors:
Be: 0.1206 0.3794 0.0000
Be: 0.3794 0.8794 0.0000
Be: 0.6206 0.1206 0.0000
Be: 0.8794 0.6206 0.0000
Mo: 0.1802 0.6802 0.5000
Mo: 0.3198 0.1802 0.5000
Mo: 0.6802 0.8198 0.5000
Mo: 0.8198 0.3198 0.5000
P: 0.0000 0.0000 0.0000
P: 0.5000 0.5000 0.0000

Results
total moment = 0.000 μB/atom

=====

<ii>
## Be2Mo2P (PBE-GGA)

Data for crystalline Be2Mo2P at its relaxed geometry.

a b c (Å): 6.1608 6.1608 6.1608
angles (deg): 146.61 146.61 47.94
Sites, in units of the cell vectors:
Be: 0.0904 0.0904 0.0000
Be: 0.9096 0.9096 0.0000
Mo: 0.2500 0.7500 0.5000
Mo: 0.7500 0.2500 0.5000
P: 0.5000 0.5000 0.0000

Results
total moment = 0.000 μB/atom

=====

Most favorable first, least favorable last: <i>, <ii>

=====

<i>
## BeMo2P (PBE-GGA)

Data for crystalline BeMo2P at its relaxed geometry.

a b c (Å): 3.3023 3.4618 4.7290
angles (deg): 90.00 110.41 90.00
Sites, in units of the cell vectors:
Be: 0.0000 0.0000 0.0000
Mo: 0.2754 0.0000 0.5531
Mo: 0.5634 0.5000 0.1254
P: 0.8503 0.5000 0.7026

Results
total moment = 0.000 μB/atom

=====

<ii>
## BeMo2P (PBE-GGA)

Data for crystalline BeMo2P at its relaxed geometry.

a b c (Å): 4.5982 4.5982 4.2281
angles (deg): 104.05 104.05 37.17
Sites, in units of the cell vectors:
Be: 0.0000 0.0000 0.0000
Mo: 0.5352 0.5352 0.5250
Mo: 0.7491 0.7491 0.1658
P: 0.2829 0.2829 0.7040

Results
total moment = 0.000 μB/atom

=====

Most favorable first, least favorable last: <i>, <ii>

=====

<i>
## BeMo2P (PBE-GGA)

Data for crystalline BeMo2P at its relaxed geometry.

a b c (Å): 3.1111 3.1111 5.3933
angles (deg): 90.00 90.00 90.00
Sites, in units of the cell vectors:
Be: 0.0000 0.0000 0.0000
Mo: 0.0000 0.0000 0.5207
Mo: 0.5000 0.5000 0.2208
P: 0.5000 0.5000 0.7634

Results
total moment = 0.000 μB/atom

=====

<ii>
## BeMo2P (PBE-GGA)

Data for crystalline BeMo2P at its relaxed geometry.

a b c (Å): 4.8139 4.8139 4.8139
angles (deg): 136.18 136.18 63.71
Sites, in units of the cell vectors:
Be: 0.0000 0.0000 0.0000
Mo: 0.2500 0.7500 0.5000
Mo: 0.5000 0.5000 0.0000
P: 0.7500 0.2500 0.5000

Results
total moment = 0.000 μB/atom

=====

Most favorable first, least favorable last: <i>, <ii>

=====

<i>
## BeMo3Pb (PBE-GGA)

Data for crystalline BeMo3Pb at its relaxed geometry.

a b c (Å): 4.9897 4.9897 4.9897
angles (deg): 90.00 90.00 90.00
Sites, in units of the cell vectors:
Be: 0.0000 0.0000 0.0000
Mo: 0.0000 0.5000 0.5000
Mo: 0.5000 0.0000 0.5000
Mo: 0.5000 0.5000 0.0000
Pb: 0.5000 0.5000 0.5000

Results
total moment = 0.000 μB/atom

=====

<ii>
## BeMo3Pb (PBE-GGA)

Data for crystalline BeMo3Pb at its relaxed geometry.

a b c (Å): 4.3512 4.3512 4.3512
angles (deg): 90.00 90.00 90.00
Sites, in units of the cell vectors:
Be: 0.0000 0.0000 0.0000
Mo: 0.0000 0.0000 0.5000
Mo: 0.0000 0.5000 0.0000
Mo: 0.5000 0.0000 0.0000
Pb: 0.5000 0.5000 0.5000

Results
total moment = 0.000 μB/atom

=====

Most favorable first, least favorable last: <ii>, <i>

=====

<i>
## BeMoPb (PBE-GGA)

Data for crystalline BeMoPb at its relaxed geometry.

a b c (Å): 5.4098 5.4098 5.4098
angles (deg): 144.88 144.88 50.52
Sites, in units of the cell vectors:
Be: 0.0000 0.0000 0.0000
Mo: 0.5732 0.5732 0.0000
Pb: 0.2770 0.2770 0.0000

Results
total moment = 0.000 μB/atom

=====

<ii>
## BeMoPb (PBE-GGA)

Data for crystalline BeMoPb at its relaxed geometry.

a b c (Å): 3.0529 3.0529 6.7569
angles (deg): 90.00 90.00 120.00
Sites, in units of the cell vectors:
Be: 0.0000 0.0000 0.0000
Mo: 0.6667 0.3333 0.2633
Pb: 0.3333 0.6667 0.6352

Results
total moment = 0.000 μB/atom

=====

Most favorable first, least favorable last: <i>, <ii>

=====

<i>
## BeMoPb (PBE-GGA)

Data for crystalline BeMoPb at its relaxed geometry.

a b c (Å): 7.3628 7.3628 7.3628
angles (deg): 156.96 156.96 32.82
Sites, in units of the cell vectors:
Be: 0.0000 0.0000 0.0000
Mo: 0.4035 0.4035 0.0000
Pb: 0.7360 0.7360 0.0000

Results
total moment = 0.171 μB/atom

=====

<ii>
## BeMoPb (PBE-GGA)

Data for crystalline BeMoPb at its relaxed geometry.

a b c (Å): 4.2091 4.2091 4.2091
angles (deg): 60.00 60.00 60.00
Sites, in units of the cell vectors:
Be: 0.0000 0.0000 0.0000
Mo: 0.2500 0.2500 0.2500
Pb: 0.7500 0.7500 0.7500

Results
total moment = 0.534 μB/atom

=====

Most favorable first, least favorable last: <i>, <ii>